A relaxed CaVOF2 crystal. Source: Alexandria, functional PBE+U.

Values from the calculation:
The value obtained for the volume is 81 Å³/cell. The value obtained for the total energy is -5.60 eV per atom.

Cell and atoms, written as CIF:
```
data_CaVOF2
_space_group_name_H-M_alt 'P 4/m m m'
_space_group_IT_number 123
_space_group_name_Hall '-P 4 2'
_cell_length_a 4.1790
_cell_length_b 4.1790
_cell_length_c 4.6294
_cell_angle_alpha 90.00
_cell_angle_beta 90.00
_cell_angle_gamma 90.00
loop_
_atom_site_label
_atom_site_fract_x
_atom_site_fract_y
_atom_site_fract_z
Ca1 0.0000 0.0000 0.0000
V1 0.5000 0.5000 0.5000
O1 0.0000 0.0000 0.5000
F1 0.0000 0.5000 0.0000
```